# BaBPdI

Crystalline BaBPdI at its relaxed geometry (GGA-PBE, Alexandria).

Calculated values
Uncorrected formation energy (kcal/mol of atoms): -4.09
Calculated volume (A^3/atom): 27.4
Crystal system: orthorhombic
Energy relative to the lowest polymorph listed for this composition (meV/atom): 0

Cell and atoms, written as POSCAR:
```
BaBPdI
1.0
3.953 0.000 0.000
0.000 4.806 0.000
0.000 0.000 11.545
Ba B Pd I
2 2 2 2
Cartesian
0.000 0.000 0.000
1.977 2.403 5.773
0.000 0.000 4.161
1.977 2.403 9.934
0.000 2.403 9.346
1.977 0.000 3.574
0.000 0.000 7.552
1.977 2.403 1.779
```